The following is a PBE+U calculation of a relaxed structure of MnIn2O5, from Alexandria. Values from VASP.

Structure (Quantum ESPRESSO input):
```
&SYSTEM
  ibrav = 0, nat = 32, ntyp = 3
/
ATOMIC_SPECIES
Mn 54.94 Mn.upf
In 114.82 In.upf
O 16.00 O.upf
CELL_PARAMETERS angstrom
7.1796 0.0000 0.0000
0.0000 3.5910 0.0000
0.0000 0.0000 14.7906
ATOMIC_POSITIONS angstrom
Mn 0.7073 0.8978 1.0564
Mn 2.8825 2.6933 8.4517
Mn 4.2971 0.8978 6.3389
Mn 6.4723 2.6933 13.7342
In 0.7179 0.8978 6.1572
In 1.2616 0.8978 11.1759
In 2.3282 2.6933 3.7806
In 2.8718 2.6933 13.5525
In 4.3077 0.8978 1.2381
In 4.8513 0.8978 11.0101
In 5.9180 2.6933 3.6148
In 6.4616 2.6933 8.6334
O 0.4622 2.6933 4.8214
O 0.5207 2.6933 0.6446
O 0.8846 2.6933 12.5770
O 1.1492 2.6933 7.4499
O 1.7454 0.8978 2.5962
O 1.8443 2.6933 9.9915
O 2.4405 0.8978 0.0546
O 2.7051 0.8978 5.1817
O 3.0691 0.8978 8.0399
O 3.1276 0.8978 12.2167
O 4.0520 2.6933 2.5739
O 4.1105 2.6933 6.7507
O 4.4744 2.6933 9.6090
O 4.7390 2.6933 14.7360
O 5.3352 0.8978 4.7991
O 5.4341 2.6933 12.1944
O 6.0303 0.8978 7.3407
O 6.2949 0.8978 2.2137
O 6.6589 0.8978 14.1460
O 6.7174 0.8978 9.9692
```

Calculated values
Space group: Pnma, No. 62
E_tot in eV/cell: -197.5